Record 1
Compound: Na5B7C3
Source: the Alexandria database
Functional: PBE-GGA
Structure: optimized geometry

a b c (Å): 9.108 9.108 13.422
angles (deg): 112.86 112.86 17.74
Positions (direct):
1 Na 0.599 0.599 0.699
2 B 0.230 0.230 0.710
3 C 0.433 0.433 0.615
4 B 0.621 0.621 0.494
5 Na 0.801 0.801 0.101
6 C 0.374 0.374 0.996
7 B 0.558 0.558 0.867
8 C 0.026 0.026 0.804
9 Na 0.401 0.401 0.300
10 Na 0.000 0.000 0.999
11 Na 0.400 0.400 0.801
12 C 0.839 0.839 0.426
13 B 0.626 0.626 0.002
14 Na 0.999 0.999 0.500
15 B 0.166 0.166 0.582
16 B 0.964 0.964 0.678
17 Na 0.599 0.599 0.199
18 B 0.029 0.029 0.310
19 B 0.371 0.371 0.490
20 Na 0.801 0.801 0.601
21 B 0.842 0.842 0.933
22 B 0.774 0.774 0.798
23 B 0.436 0.436 0.122
24 Na 0.200 0.200 0.400
25 B 0.779 0.779 0.306
26 C 0.561 0.561 0.374
27 B 0.170 0.170 0.090
28 C 0.967 0.967 0.185
29 Na 0.200 0.200 0.900
30 B 0.234 0.234 0.218

Calculated values
Its energy is -5.28 eV per atom. The calculation puts the energy above the lowest structure with this stoichiometry at 0.3 kJ/mol of atoms. The energy of formation comes out at 0.12 eV/atom.

***

Record 2
Compound: CrCoTe2
Source: the Alexandria database
Functional: PBE-GGA
Structure: optimized geometry

a b c (Å): 5.782 5.782 7.057
angles (deg): 65.82 65.82 90.00
Positions (direct):
1 Cr 0.250 0.750 0.500
2 Cr 0.500 0.500 0.000
3 Te 0.375 0.365 0.750
4 Co 0.750 0.250 0.500
5 Te 0.635 0.125 0.250
6 Te 0.875 0.885 0.750
7 Co 0.000 0.000 0.000
8 Te 0.115 0.625 0.250

Calculated values
Its energy is -5.33 eV per atom. The formation energy without anion corrections is 0.424 eV per atom. The calculation puts the energy above the lowest structure with this stoichiometry at 51.1 kJ/mol of atoms.

***

Record 3
Compound: Nd7Ga2Os2
Source: the Alexandria database
Functional: PBE-GGA
Structure: optimized geometry

a b c (Å): 6.941 7.106 6.941
angles (deg): 90.00 108.24 90.00
Positions (direct):
1 Os 0.702 0.000 0.298
2 Nd 0.000 0.260 0.500
3 Nd 0.500 0.740 0.000
4 Nd 0.500 0.256 0.500
5 Nd 0.000 0.000 0.000
6 Os 0.298 0.000 0.702
7 Ga 0.840 0.500 0.840
8 Nd 0.500 0.744 0.500
9 Ga 0.160 0.500 0.160
10 Nd 0.500 0.260 0.000
11 Nd 0.000 0.740 0.500

Calculated values
Its energy is -5.77 eV per atom. The energy of formation comes out at -0.14 eV/atom.

***

Record 4
Compound: Pr6GeIr2Br3
Source: the Alexandria database
Functional: PBE-GGA
Structure: optimized geometry

a b c (Å): 7.383 7.383 8.104
angles (deg): 98.74 98.74 119.98
Positions (direct):
1 Br 0.838 0.162 0.500
2 Ge 0.000 0.000 0.000
3 Pr 0.719 0.719 0.200
4 Pr 0.934 0.586 0.799
5 Br 0.162 0.838 0.500
6 Pr 0.414 0.066 0.201
7 Pr 0.586 0.934 0.799
8 Pr 0.281 0.281 0.800
9 Br 0.500 0.500 0.500
10 Ir 0.333 0.667 0.000
11 Ir 0.667 0.333 0.000
12 Pr 0.066 0.414 0.201

Calculated values
Its energy is -5.74 eV per atom. The formation energy without anion corrections is -1.071 eV per atom.

***

Record 5
Compound: SrAuC2
Source: the Alexandria database
Functional: PBE-GGA
Structure: optimized geometry

a b c (Å): 4.049 4.456 8.504
angles (deg): 93.03 99.29 93.49
Positions (direct):
1 C 0.442 0.090 0.053
2 Au 0.549 0.767 0.592
3 Sr 0.088 0.303 0.771
4 Au 0.451 0.233 0.408
5 Sr 0.912 0.697 0.229
6 C 0.688 0.732 0.851
7 C 0.312 0.268 0.149
8 C 0.558 0.910 0.947

Calculated values
Its energy is -5.80 eV per atom. The calculation puts the energy above the lowest structure with this stoichiometry at 12.3 kJ/mol of atoms. The energy of formation comes out at 0.05 eV/atom.

***

Record 6
Compound: ZnTePb
Source: the Alexandria database
Functional: PBE-GGA
Structure: optimized geometry

a b c (Å): 6.363 6.363 6.363
angles (deg): 145.74 145.74 49.23
Positions (direct):
1 Pb 0.022 0.022 0.000
2 Te 0.292 0.292 0.000
3 Zn 0.686 0.686 0.000

Calculated values
Its energy is -2.69 eV per atom. The formation energy without anion corrections is 0.019 eV per atom. The calculation puts the energy above the lowest structure with this stoichiometry at 11.4 kJ/mol of atoms.

***

Record 7
Compound: NaPt3Au
Source: the Alexandria database
Functional: PBE-GGA
Structure: optimized geometry

a b c (Å): 5.025 5.025 5.025
angles (deg): 90.00 90.00 90.00
Positions (direct):
1 Au 0.000 0.000 0.000
2 Pt 0.000 0.500 0.000
3 Na 0.500 0.500 0.500
4 Pt 0.000 0.000 0.500
5 Pt 0.500 0.000 0.000

Calculated values
Its energy is -3.58 eV per atom. The calculation puts the energy above the lowest structure with this stoichiometry at 0.0 kJ/mol of atoms. The energy of formation comes out at 0.96 eV/atom.

***

Record 8
Compound: HfSiGe
Source: the Alexandria database
Functional: PBE-GGA
Structure: optimized geometry

a b c (Å): 3.722 3.737 7.676
angles (deg): 104.09 90.00 90.00
Positions (direct):
1 Si 0.750 0.250 0.501
2 Hf 0.750 0.891 0.781
3 Hf 0.250 0.109 0.219
4 Ge 0.250 0.439 0.878
5 Si 0.250 0.750 0.499
6 Ge 0.750 0.561 0.122

Calculated values
Its energy is -7.18 eV per atom. The formation energy without anion corrections is -0.510 eV per atom. The calculation puts the energy above the lowest structure with this stoichiometry at 0.0 kJ/mol of atoms.